Er5Pt3 (GGA-PBE, optimized geometry); formation energy = -1076 meV/atom; offset from the most stable computed form = 0 meV per atom; N(E_F) = 31.86 states/eV per cell
1.0
10.928 0.000 0.000
0.000 10.928 0.000
0.000 0.000 6.431
Er Pt
20 12
Direct
0.043 0.161 0.122
0.043 0.339 0.622
0.161 0.043 0.622
0.161 0.457 0.122
0.250 0.750 0.000
0.250 0.750 0.500
0.339 0.043 0.122
0.339 0.457 0.622
0.457 0.161 0.622
0.457 0.339 0.122
0.543 0.661 0.878
0.543 0.839 0.378
0.661 0.543 0.378
0.661 0.957 0.878
0.750 0.250 0.000
0.750 0.250 0.500
0.839 0.543 0.878
0.839 0.957 0.378
0.957 0.661 0.378
0.957 0.839 0.878
0.096 0.596 0.750
0.096 0.904 0.250
0.250 0.250 0.382
0.250 0.250 0.882
0.404 0.596 0.250
0.404 0.904 0.750
0.596 0.096 0.250
0.596 0.404 0.750
0.750 0.750 0.118
0.750 0.750 0.618
0.904 0.096 0.750
0.904 0.404 0.250